DFT (GGA-PBE) results for crystalline Zn4CuAg2 at its relaxed geometry.

Unit cell a=13.6170 b=2.7737 c=6.5360 alpha=90.00 beta=116.57 gamma=90.00
Space group C2/m (No. 12)
One atom of each set of equivalent atoms:
Zn (0.0858, 0.0000, 0.2178) [4 per cell]
Zn (0.1054, 0.5000, 0.8711) [4 per cell]
Cu (0.0000, 0.0000, 0.5000) [2 per cell]
Ag (0.2232, 0.0000, 0.6833) [4 per cell]

Values from the calculation:
crystal system	monoclinic
VASP energy	-2.107	eV per atom
E_form	21	meV/atom